Entry 1:
Here is a relaxed structure of ThNi6Ge2 from Alexandria via LeMat-Bulk. Energies are from GGA-PBE.

Summary:
The symmetry is Immm, No. 71. The value obtained for the size of the total moment is 0.0 μB/f.u. The density of states at the Fermi level is 6.505 states/eV/cell. For the formation enthalpy at 0 K, the calculation gives -0.136 eV per atom.

a b c (Å): 3.881 5.691 7.015
angles (deg): 113.93 106.06 90.00
Positions (direct):
Th 0.000 0.500 0.000
Ni 0.692 0.949 0.384
Ni 0.308 0.051 0.616
Ni 0.308 0.565 0.616
Ni 0.500 0.192 0.000
Ni 0.500 0.808 0.000
Ni 0.692 0.435 0.384
Ge 0.854 0.854 0.708
Ge 0.146 0.146 0.292



Entry 2:
Here is a relaxed structure of ThNi12Ge6 from Alexandria via LeMat-Bulk. Energies are from GGA-PBE.

Summary:
The symmetry is R-3m, No. 166. The value obtained for the size of the total moment is 0.0 μB/f.u. The density of states at the Fermi level is 14.072 states/eV/cell. For the formation enthalpy at 0 K, the calculation gives -0.280 eV per atom.

a b c (Å): 6.695 6.695 6.695
angles (deg): 105.10 105.10 105.10
Positions (direct):
Th 0.000 0.000 0.000
Ni 0.882 0.118 0.500
Ni 0.847 0.591 0.591
Ni 0.591 0.591 0.847
Ni 0.409 0.153 0.409
Ni 0.409 0.409 0.153
Ni 0.153 0.409 0.409
Ni 0.118 0.500 0.882
Ni 0.500 0.882 0.118
Ni 0.118 0.882 0.500
Ni 0.882 0.500 0.118
Ni 0.500 0.118 0.882
Ni 0.591 0.847 0.591
Ge 0.702 0.259 0.259
Ge 0.259 0.259 0.702
Ge 0.259 0.702 0.259
Ge 0.741 0.741 0.298
Ge 0.298 0.741 0.741
Ge 0.741 0.298 0.741



Among the records above, which one has the lowest formation enthalpy at 0 K? ThNi12Ge6